The following is a GGA-PBE calculation of a relaxed Y2ClO crystal, from the Alexandria database.

magnetic moment = 0.00 μB/f.u.
theoretical density = 5.06 Mg/m³
uncorrected formation energy = -1904 meV per atom

abc: 3.525 3.525 7.279
angles: 75.99 75.99 60.00
Atoms (fractional coordinates):
1 Cl 0.500 0.500 0.500
2 Y 0.729 0.729 0.813
3 Y 0.271 0.271 0.187
4 O 0.000 0.000 0.000

***

The following is a GGA-PBE calculation of a relaxed YCl2O crystal, from the Alexandria database.

magnetic moment = 1.00 μB/f.u.
theoretical density = 4.13 Mg/m³
uncorrected formation energy = -1296 meV per atom

abc: 4.641 4.641 4.641
angles: 60.00 60.00 60.00
Last column: magnetic moment on the atom in μB.
Atoms (fractional coordinates):
1 Y 0.500 0.500 0.500  -0.05
2 O 0.000 0.000 0.000  0.78
3 Cl 0.250 0.250 0.250  0.05
4 Cl 0.750 0.750 0.750  0.05

***

The following is a GGA-PBE calculation of a relaxed YCl2O crystal, from the Alexandria database.

magnetic moment = 2.14 μB/f.u.
theoretical density = 2.41 Mg/m³
uncorrected formation energy = -66 meV per atom

abc: 8.514 8.514 8.514
angles: 28.16 28.16 28.16
Last column: magnetic moment on the atom in μB.
Atoms (fractional coordinates):
1 O 0.500 0.500 0.500  1.51
2 Y 0.000 0.000 0.000  0.01
3 Cl 0.100 0.100 0.100  0.12
4 Cl 0.900 0.900 0.900  0.12

***

The following is a GGA-PBE calculation of a relaxed YClO2 crystal, from the Alexandria database.

magnetic moment = 2.00 μB/f.u.
theoretical density = 3.82 Mg/m³
uncorrected formation energy = -1772 meV per atom

abc: 3.597 6.307 6.367
angles: 70.17 90.00 90.00
Last column: magnetic moment on the atom in μB.
Atoms (fractional coordinates):
1 Y 0.250 0.691 0.160  -0.02
2 Y 0.750 0.309 0.840  -0.02
3 O 0.250 0.550 0.874  0.79
4 O 0.750 0.450 0.126  0.79
5 O 0.250 0.078 0.059  0.81
6 O 0.750 0.922 0.941  0.81
7 Cl 0.750 0.740 0.475  0.09
8 Cl 0.250 0.260 0.525  0.09

***

The following is a GGA-PBE calculation of a relaxed Y3Cl2O6 crystal, from the Alexandria database.

magnetic moment = 5.02 μB/f.u.
theoretical density = 3.62 Mg/m³
uncorrected formation energy = -1936 meV per atom

abc: 3.960 7.873 12.750
angles: 90.00 90.00 90.00
Last column: magnetic moment on the atom in μB.
Atoms (fractional coordinates):
1 Cl 0.000 0.624 0.886  0.30
2 Cl 0.000 0.624 0.114  0.30
3 Cl 0.500 0.376 0.614  0.30
4 Cl 0.500 0.376 0.386  0.30
5 O 0.000 0.716 0.660  0.52
6 O 0.000 0.277 0.000  0.34
7 O 0.000 0.014 0.670  0.60
8 O 0.500 0.986 0.170  0.60
9 O 0.000 0.014 0.330  0.60
10 O 0.500 0.986 0.830  0.60
11 O 0.000 0.996 0.000  1.00
12 O 0.500 0.284 0.840  0.52
13 O 0.000 0.716 0.340  0.52
14 O 0.500 0.284 0.160  0.52
15 O 0.500 0.723 0.500  0.34
16 O 0.500 0.004 0.500  1.00
17 Y 0.000 0.576 0.500  0.03
18 Y 0.500 0.870 0.659  -0.04
19 Y 0.500 0.424 0.000  0.03
20 Y 0.500 0.870 0.341  -0.04
21 Y 0.000 0.130 0.159  -0.04
22 Y 0.000 0.130 0.841  -0.04

***

The following is a GGA-PBE calculation of a relaxed YClO2 crystal, from the Alexandria database.

magnetic moment = 2.00 μB/f.u.
theoretical density = 3.88 Mg/m³
uncorrected formation energy = -1756 meV per atom

abc: 3.608 6.254 11.853
angles: 90.00 90.00 90.00
Last column: magnetic moment on the atom in μB.
Atoms (fractional coordinates):
1 O 0.750 0.492 0.564  0.78
2 O 0.250 0.992 0.936  0.78
3 O 0.250 0.508 0.436  0.78
4 O 0.750 0.901 0.470  0.80
5 O 0.750 0.599 0.970  0.80
6 O 0.750 0.008 0.064  0.78
7 O 0.250 0.401 0.030  0.80
8 O 0.250 0.099 0.530  0.80
9 Y 0.750 0.247 0.919  -0.02
10 Y 0.250 0.753 0.081  -0.02
11 Y 0.750 0.253 0.419  -0.02
12 Y 0.250 0.747 0.581  -0.02
13 Cl 0.250 0.389 0.758  0.11
14 Cl 0.750 0.611 0.242  0.11
15 Cl 0.750 0.889 0.742  0.11
16 Cl 0.250 0.111 0.258  0.11

***

The following is a GGA-PBE calculation of a relaxed YCl2O crystal, from the Alexandria database.

magnetic moment = 0.00 μB/f.u.
theoretical density = 4.05 Mg/m³
uncorrected formation energy = -1271 meV per atom

abc: 3.676 3.676 10.986
angles: 80.37 80.37 90.00
Atoms (fractional coordinates):
1 Y 0.000 0.000 0.000
2 Y 0.750 0.250 0.500
3 Cl 0.628 0.125 0.250
4 Cl 0.875 0.878 0.750
5 Cl 0.375 0.372 0.750
6 Cl 0.122 0.625 0.250
7 O 0.500 0.500 0.000
8 O 0.250 0.750 0.500

***

The following is a GGA-PBE calculation of a relaxed YClO2 crystal, from the Alexandria database.

magnetic moment = 2.00 μB/f.u.
theoretical density = 4.83 Mg/m³
uncorrected formation energy = -1300 meV per atom

abc: 4.235 4.235 4.235
angles: 60.00 60.00 60.00
Last column: magnetic moment on the atom in μB.
Atoms (fractional coordinates):
1 O 0.250 0.250 0.250  0.58
2 O 0.750 0.750 0.750  0.58
3 Y 0.500 0.500 0.500  0.00
4 Cl 0.000 0.000 0.000  0.54

***

The following is a GGA-PBE calculation of a relaxed Y2ClO crystal, from the Alexandria database.

magnetic moment = 0.00 μB/f.u.
theoretical density = 5.61 Mg/m³
uncorrected formation energy = -1280 meV per atom

abc: 4.578 4.578 4.578
angles: 60.00 60.00 60.00
Atoms (fractional coordinates):
1 O 0.000 0.000 0.000
2 Cl 0.500 0.500 0.500
3 Y 0.250 0.250 0.250
4 Y 0.750 0.750 0.750

***

The following is a GGA-PBE calculation of a relaxed YClO2 crystal, from the Alexandria database.

magnetic moment = 0.38 μB/f.u.
theoretical density = 3.88 Mg/m³
uncorrected formation energy = -1653 meV per atom

abc: 4.074 4.074 8.569
angles: 76.25 76.25 90.00
Last column: magnetic moment on the atom in μB.
Atoms (fractional coordinates):
1 Y 0.000 0.000 0.000  -0.01
2 Y 0.750 0.250 0.500  -0.01
3 O 0.375 0.125 0.750  0.12
4 O 0.875 0.625 0.250  0.19
5 O 0.875 0.125 0.250  0.19
6 O 0.875 0.125 0.750  0.12
7 Cl 0.500 0.500 0.000  0.02
8 Cl 0.250 0.750 0.500  0.02

***

The following is a GGA-PBE calculation of a relaxed Y2ClO crystal, from the Alexandria database.

magnetic moment = 1.00 μB/f.u.
theoretical density = 3.97 Mg/m³
uncorrected formation energy = -1867 meV per atom

abc: 5.851 5.851 6.968
angles: 65.18 65.18 90.00
Last column: magnetic moment on the atom in μB.
Atoms (fractional coordinates):
1 Y 0.875 0.803 0.750  0.17
2 Y 0.553 0.125 0.250  0.19
3 Y 0.375 0.447 0.750  0.17
4 Y 0.197 0.625 0.250  0.19
5 O 0.250 0.750 0.500  0.02
6 O 0.500 0.500 0.000  0.02
7 Cl 0.000 0.000 0.000  0.05
8 Cl 0.750 0.250 0.500  0.05

***

The following is a GGA-PBE calculation of a relaxed Y2Cl3O crystal, from the Alexandria database.

magnetic moment = 0.00 μB/f.u.
theoretical density = 3.49 Mg/m³
uncorrected formation energy = -2560 meV per atom

abc: 3.909 8.338 9.582
angles: 71.74 78.23 76.44
Atoms (fractional coordinates):
1 Y 0.419 0.708 0.454
2 Y 0.865 0.483 0.787
3 Y 0.581 0.292 0.546
4 Y 0.135 0.517 0.213
5 O 0.584 0.504 0.329
6 O 0.416 0.496 0.671
7 Cl 0.333 0.322 0.011
8 Cl 0.223 0.170 0.385
9 Cl 0.667 0.678 0.989
10 Cl 0.957 0.846 0.239
11 Cl 0.043 0.154 0.761
12 Cl 0.777 0.830 0.615